Here is an optimized crystal structure of Cd2FePt from Alexandria. Energies are from PBE.

Cell lengths 5.3498, 5.3498, 4.9043 Å; angles 107.30, 107.30, 31.35 degrees
Element x y z (fractional)
Cd: 0.0000 0.0000 0.0000
Cd: 0.2181 0.2181 0.6747
Fe: 0.7498 0.7498 0.1994
Pt: 0.4589 0.4589 0.4697

volume = 69.5 Å³ per cell
DFT total energy = -4.063 eV/atom
SG = Cm
energy of formation from the pure elements = 0.021 eV/atom
magnetic moment = 2.9 μB/cell

Here is an optimized crystal structure of PrSmRuAu from Alexandria. Energies are from PBE.

Cell lengths 5.1027, 5.1027, 5.1027 Å; angles 60.00, 60.00, 60.00 degrees
Element x y z (fractional)
Pr: 0.0000 0.0000 0.0000
Sm: 0.5000 0.5000 0.5000
Ru: 0.7500 0.7500 0.7500
Au: 0.2500 0.2500 0.2500

volume = 93.9 Å³ per cell
DFT total energy = -5.938 eV/atom
SG = F-43m
energy of formation from the pure elements = -0.425 eV/atom
magnetic moment = 0.0 μB/cell

Here is an optimized crystal structure of AgSnPt2 from Alexandria. Energies are from PBE.

Cell lengths 5.9193, 5.9193, 5.9193 Å; angles 102.95, 102.95, 123.49 degrees
Element x y z (fractional)
Ag: 0.0000 0.0000 0.0000
Ag: 0.7500 0.2500 0.5000
Sn: 0.2500 0.7500 0.5000
Sn: 0.5000 0.5000 0.0000
Pt: 0.1387 0.6250 0.0137
Pt: 0.3750 0.3887 0.5137
Pt: 0.6113 0.1250 0.9863
Pt: 0.8750 0.8613 0.4863

volume = 152.4 Å³ per cell
DFT total energy = -4.795 eV/atom
SG = I-42d
energy of formation from the pure elements = -0.061 eV/atom
magnetic moment = 0.0 μB/cell